SrCu2Ir: optimized geometry, GGA-PBE.

Cell and atoms, written as CIF:
```
data_SrCu2Ir
_space_group_name_H-M_alt 'P 1 2/m 1'
_space_group_IT_number 10
_space_group_name_Hall '-P 2y'
_cell_length_a 3.097
_cell_length_b 4.356
_cell_length_c 5.753
_cell_angle_alpha 90.00
_cell_angle_beta 102.56
_cell_angle_gamma 90.00
loop_
_atom_site_label
_atom_site_fract_x
_atom_site_fract_y
_atom_site_fract_z
Sr1 0.000 0.000 0.000
Cu1 0.296 0.500 0.671
Ir1 0.500 0.000 0.500
```

Summary:
Energy of formation ... 0.268 eV/atom